1.
First-principles (PBE) data for crystalline GeC2Cl at its relaxed geometry, as listed in the Alexandria database.

formation energy from raw total energies = 2.72 eV/atom
space-group type = Fm-3m (225)

Geometry as POSCAR:
```
GeC2Cl
1.0
0.000 2.938 2.938
2.938 0.000 2.938
2.938 2.938 0.000
Ge C Cl
1 2 1
Direct
0.500 0.500 0.500 Ge
0.250 0.250 0.250 C
0.750 0.750 0.750 C
0.000 0.000 0.000 Cl
```

2.
First-principles (PBE) data for crystalline TlTcPt at its relaxed geometry, as listed in the Alexandria database.

ΔE_f = 0.32 eV per atom
space-group type = I4mm (107)

Geometry as POSCAR:
```
TlTcPt
1.0
6.485 0.013 -0.014
5.807 2.887 -0.010
0.678 0.156 2.869
Pt Tc Tl
1 1 1
Direct
0.983 0.983 0.017 Pt
0.347 0.347 0.653 Tc
0.670 0.670 0.330 Tl
```

3.
First-principles (PBE) data for crystalline Zr3VSe at its relaxed geometry, as listed in the Alexandria database.

formation energy from raw total energies = 0.24 eV/atom
space-group type = Pm-3m (221)

Geometry as POSCAR:
```
Zr3VSe
1.0
-4.315 -1.929 -1.550
2.330 -2.117 -3.852
0.834 -4.067 2.740
Zr Se V
3 1 1
Direct
0.000 0.500 0.000 Zr
0.000 0.000 0.500 Zr
0.500 0.000 0.000 Zr
0.000 0.000 0.000 Se
0.500 0.500 0.500 V
```

4.
First-principles (PBE) data for crystalline Mg2AlCr at its relaxed geometry, as listed in the Alexandria database.

ΔE_f = 0.13 eV per atom
space-group type = P1 (1)

Geometry as POSCAR:
```
Mg2AlCr
1.0
-2.400 2.389 -3.562
-1.201 -5.427 0.430
-3.409 2.876 4.236
Mg Al Cr
4 2 2
Direct
0.232 0.639 0.375 Mg
0.049 0.092 0.492 Mg
0.084 0.131 0.987 Mg
0.591 0.171 0.254 Mg
0.200 0.640 0.869 Al
0.595 0.142 0.754 Al
0.682 0.627 0.670 Cr
0.698 0.621 0.069 Cr
```

5.
First-principles (PBE) data for crystalline AsIrS at its relaxed geometry, as listed in the Alexandria database.

formation energy from raw total energies = -0.21 eV/atom
space-group type = P1 (1)

Geometry as POSCAR:
```
AsIrS
1.0
-2.487 -2.263 1.685
-1.523 -2.662 -4.753
3.110 -5.128 -0.518
As Ir S
2 2 2
Direct
0.680 0.307 0.720 As
0.594 0.818 0.876 As
0.124 0.547 0.833 Ir
0.729 0.526 0.277 Ir
0.178 0.725 0.407 S
0.269 0.301 0.205 S
```

6.
First-principles (PBE) data for crystalline Pm7Tl2In2 at its relaxed geometry, as listed in the Alexandria database.

ΔE_f = -0.07 eV per atom
space-group type = Cmmm (65)

Geometry as POSCAR:
```
Pm7Tl2In2
1.0
6.937 -0.003 -0.979
0.004 8.040 0.003
-1.409 -0.002 6.863
Pm Tl In
7 2 2
Direct
0.000 0.291 0.500 Pm
0.500 0.709 0.000 Pm
0.000 0.709 0.500 Pm
0.500 0.291 0.000 Pm
0.000 0.000 0.000 Pm
0.500 0.736 0.500 Pm
0.500 0.264 0.500 Pm
0.710 0.000 0.290 Tl
0.290 0.000 0.710 Tl
0.825 0.500 0.825 In
0.175 0.500 0.175 In
```

7.
First-principles (PBE) data for crystalline Dy2Er2Zn at its relaxed geometry, as listed in the Alexandria database.

ΔE_f = -0.13 eV per atom
space-group type = I4/mmm (139)

Geometry as POSCAR:
```
Dy2Er2Zn
1.0
-2.677 -2.043 1.041
1.871 -2.871 -0.825
4.582 2.224 10.186
Dy Er Zn
2 2 1
Direct
0.806 0.806 0.612 Dy
0.194 0.194 0.388 Dy
0.579 0.579 0.158 Er
0.421 0.421 0.842 Er
0.000 0.000 0.000 Zn
```

8.
First-principles (PBE) data for crystalline CsPdSe2 at its relaxed geometry, as listed in the Alexandria database.

formation energy from raw total energies = -0.62 eV/atom
space-group type = Cmcm (63)

Geometry as POSCAR:
```
CsPdSe2
1.0
6.241 0.000 -2.615
0.000 5.801 0.000
-0.076 0.000 8.572
Cs Pd Se
2 2 4
Direct
0.649 0.750 0.299 Cs
0.351 0.250 0.701 Cs
0.000 0.250 0.999 Pd
0.000 0.750 0.001 Pd
0.129 0.497 0.258 Se
0.871 0.503 0.742 Se
0.129 0.003 0.258 Se
0.871 0.997 0.742 Se
```

9.
First-principles (PBE) data for crystalline Sc2MnSi2Tc5 at its relaxed geometry, as listed in the Alexandria database.

formation energy from raw total energies = -0.33 eV/atom
space-group type = P4/mbm (127)

Geometry as POSCAR:
```
Sc2MnSi2Tc5
1.0
-2.649 1.960 0.174
-5.725 -7.610 -1.447
-0.458 -1.463 9.509
Sc Mn Si Tc
4 2 4 10
Direct
0.000 0.668 0.168 Sc
0.000 0.332 0.832 Sc
0.000 0.168 0.332 Sc
0.000 0.832 0.668 Sc
0.000 0.000 0.000 Mn
0.000 0.500 0.500 Mn
0.000 0.131 0.631 Si
0.000 0.869 0.369 Si
0.000 0.631 0.869 Si
0.000 0.369 0.131 Si
0.500 0.194 0.066 Tc
0.500 0.806 0.934 Tc
0.500 0.066 0.806 Tc
0.500 0.694 0.434 Tc
0.500 0.934 0.194 Tc
0.500 0.306 0.566 Tc
0.500 0.566 0.694 Tc
0.500 0.434 0.306 Tc
0.500 0.500 0.000 Tc
0.500 0.000 0.500 Tc
```

10.
First-principles (PBE) data for crystalline Li2BPd at its relaxed geometry, as listed in the Alexandria database.

ΔE_f = 0.19 eV per atom
space-group type = I-42d (122)

Geometry as POSCAR:
```
Li2BPd
1.0
3.243 0.000 0.000
0.000 3.243 0.000
1.622 1.622 8.836
B Pd Li
2 2 4
Direct
0.500 0.500 0.000 B
0.250 0.750 0.500 B
0.000 0.000 0.000 Pd
0.750 0.250 0.500 Pd
0.607 0.125 0.250 Li
0.143 0.625 0.250 Li
0.375 0.393 0.750 Li
0.875 0.857 0.750 Li
```

11.
First-principles (PBE) data for crystalline YMg2AlAg4 at its relaxed geometry, as listed in the Alexandria database.

ΔE_f = -0.20 eV per atom
space-group type = R-3m (166)

Geometry as POSCAR:
```
YMg2AlAg4
1.0
-3.460 0.007 -3.104
-0.487 -3.563 -2.945
-6.336 -5.119 3.571
Y Mg Al Ag
1 2 1 4
Direct
0.000 0.000 0.000 Y
0.754 0.754 0.737 Mg
0.246 0.246 0.263 Mg
0.500 0.500 0.500 Al
0.394 0.394 0.819 Ag
0.870 0.870 0.389 Ag
0.130 0.130 0.611 Ag
0.606 0.606 0.181 Ag
```

12.
First-principles (PBE) data for crystalline ScCd2Hg at its relaxed geometry, as listed in the Alexandria database.

ΔE_f = -0.09 eV per atom
space-group type = R3m (160)

Geometry as POSCAR:
```
ScCd2Hg
1.0
9.426 -0.090 -0.053
8.835 3.285 -0.053
8.835 1.546 2.899
Cd Hg Sc
2 1 1
Direct
0.000 0.000 0.000 Cd
0.249 0.249 0.249 Cd
0.499 0.499 0.499 Hg
0.752 0.752 0.752 Sc
```

13.
First-principles (PBE) data for crystalline Sm3Tm2Ag2 at its relaxed geometry, as listed in the Alexandria database.

ΔE_f = 0.04 eV per atom
space-group type = P2/m (10)

Geometry as POSCAR:
```
Sm3Tm2Ag2
1.0
-0.932 -3.865 2.924
-0.848 -1.887 -2.765
10.327 -5.294 0.444
Sm Tm Ag
3 2 2
Direct
0.857 0.000 0.286 Sm
0.000 0.000 0.000 Sm
0.143 0.000 0.714 Sm
0.709 0.500 0.582 Tm
0.291 0.500 0.418 Tm
0.571 0.500 0.858 Ag
0.429 0.500 0.142 Ag
```

14.
First-principles (PBE) data for crystalline PrNdPt2 at its relaxed geometry, as listed in the Alexandria database.

ΔE_f = -1.02 eV per atom
space-group type = P4/mmm (123)

Geometry as POSCAR:
```
PrNdPt2
1.0
3.580 0.000 0.000
0.000 5.152 0.000
0.000 0.000 5.152
Pr Nd Pt
1 1 2
Direct
0.500 0.500 0.500 Pr
0.500 0.000 0.000 Nd
0.000 0.000 0.500 Pt
0.000 0.500 0.000 Pt
```

15.
First-principles (PBE) data for crystalline TaFeAg at its relaxed geometry, as listed in the Alexandria database.

ΔE_f = 0.38 eV per atom
space-group type = P3m1 (156)

Geometry as POSCAR:
```
TaFeAg
1.0
-4.364 0.057 -1.134
1.200 -0.388 4.330
-0.029 2.668 0.247
Ag Fe Ta
1 1 1
Direct
0.000 0.000 0.101 Ag
0.667 0.333 0.262 Fe
0.333 0.667 0.637 Ta
```

16.
First-principles (PBE) data for crystalline YNb4Ge2 at its relaxed geometry, as listed in the Alexandria database.

ΔE_f = -0.38 eV per atom
space-group type = Cmmm (65)

Geometry as POSCAR:
```
YNb4Ge2
1.0
4.257 0.000 0.000
0.000 3.609 -0.795
0.000 0.049 8.807
Y Nb Ge
1 4 2
Direct
0.000 0.000 0.000 Y
0.500 0.818 0.636 Nb
0.000 0.676 0.352 Nb
0.500 0.182 0.364 Nb
0.000 0.324 0.648 Nb
0.500 0.572 0.144 Ge
0.500 0.428 0.856 Ge
```

17.
First-principles (PBE) data for crystalline NpCdI5 at its relaxed geometry, as listed in the Alexandria database.

formation energy from raw total energies = -0.71 eV/atom
space-group type = C2/c (15)

Geometry as POSCAR:
```
NpCdI5
1.0
8.106 -0.819 -2.027
-3.194 7.495 -2.027
0.354 0.481 11.464
Np Cd I
2 2 10
Direct
0.000 0.000 0.000 Np
0.000 0.000 0.500 Np
0.719 0.281 0.750 Cd
0.281 0.719 0.250 Cd
0.765 0.583 0.953 I
0.235 0.417 0.047 I
0.417 0.235 0.547 I
0.583 0.765 0.453 I
0.087 0.913 0.750 I
0.913 0.087 0.250 I
0.636 0.987 0.847 I
0.364 0.013 0.153 I
0.013 0.364 0.653 I
0.987 0.636 0.347 I
```

18.
First-principles (PBE) data for crystalline Tb3Re2N7 at its relaxed geometry, as listed in the Alexandria database.

formation energy from raw total energies = -0.58 eV/atom
space-group type = Cmmm (65)

Geometry as POSCAR:
```
Tb3Re2N7
1.0
-2.327 -0.467 -2.976
0.874 -3.935 -0.066
-7.850 0.219 6.103
Tb Re N
3 2 7
Direct
0.500 0.500 0.000 Tb
0.500 0.682 0.364 Tb
0.500 0.318 0.636 Tb
0.000 0.897 0.794 Re
0.000 0.103 0.206 Re
0.000 0.403 0.806 N
0.000 0.794 0.588 N
0.000 0.000 0.000 N
0.000 0.597 0.194 N
0.500 0.106 0.211 N
0.500 0.894 0.789 N
0.000 0.206 0.412 N
```

19.
First-principles (PBE) data for crystalline CdTcRh2 at its relaxed geometry, as listed in the Alexandria database.

ΔE_f = 0.13 eV per atom
space-group type = Cmmm (65)

Geometry as POSCAR:
```
CdTcRh2
1.0
-2.378 1.266 3.968
4.480 -1.032 1.370
0.740 2.671 -0.408
Cd Rh Tc
1 2 1
Direct
0.000 0.500 0.500 Cd
0.000 0.000 0.000 Rh
0.500 0.500 0.000 Rh
0.500 0.000 0.500 Tc
```

20.
First-principles (PBE) data for crystalline MnReRhW at its relaxed geometry, as listed in the Alexandria database.

ΔE_f = 0.05 eV per atom
space-group type = F-43m (216)

Geometry as POSCAR:
```
MnReRhW
1.0
-3.701 1.922 -1.334
-2.844 -2.214 -2.485
-3.846 -1.261 1.669
Re Mn Rh W
1 1 1 1
Direct
0.500 0.500 0.500 Re
0.250 0.250 0.250 Mn
0.000 0.000 0.000 Rh
0.750 0.750 0.750 W
```

21.
First-principles (PBE) data for crystalline Sr2InBr5 at its relaxed geometry, as listed in the Alexandria database.

formation energy from raw total energies = -1.75 eV/atom
space-group type = P2_1/c (14)

Geometry as POSCAR:
```
Sr2InBr5
1.0
8.468 0.000 0.000
0.000 9.415 -0.002
0.000 0.011 13.536
Sr In Br
8 4 20
Direct
0.025 0.499 0.821 Sr
0.975 0.501 0.179 Sr
0.525 0.501 0.679 Sr
0.475 0.499 0.321 Sr
0.073 0.747 0.505 Sr
0.927 0.253 0.495 Sr
0.573 0.253 0.995 Sr
0.427 0.747 0.005 Sr
0.005 0.991 0.824 In
0.995 0.009 0.176 In
0.505 0.009 0.676 In
0.495 0.991 0.324 In
0.156 0.034 0.596 Br
0.844 0.966 0.404 Br
0.656 0.966 0.904 Br
0.344 0.034 0.096 Br
0.837 0.719 0.684 Br
0.163 0.281 0.316 Br
0.337 0.281 0.816 Br
0.663 0.719 0.184 Br
0.307 0.727 0.784 Br
0.693 0.273 0.216 Br
0.807 0.273 0.716 Br
0.193 0.727 0.284 Br
0.454 0.718 0.502 Br
0.546 0.282 0.498 Br
0.954 0.282 0.998 Br
0.046 0.718 0.002 Br
0.662 0.541 0.900 Br
0.338 0.459 0.100 Br
0.162 0.459 0.600 Br
0.838 0.541 0.400 Br
```

22.
First-principles (PBE) data for crystalline AcPa2Te8 at its relaxed geometry, as listed in the Alexandria database.

formation energy from raw total energies = -0.81 eV/atom
space-group type = C2/m (12)

Geometry as POSCAR:
```
AcPa2Te8
1.0
5.810 0.120 0.180
-0.785 8.238 -0.116
-0.785 -3.279 7.558
Ac Pa Te
1 2 8
Direct
0.500 0.000 0.000 Ac
0.000 0.307 0.693 Pa
0.000 0.693 0.307 Pa
0.910 0.922 0.679 Te
0.910 0.679 0.922 Te
0.315 0.593 0.593 Te
0.500 0.752 0.248 Te
0.500 0.248 0.752 Te
0.685 0.407 0.407 Te
0.090 0.321 0.078 Te
0.090 0.078 0.321 Te
```

23.
First-principles (PBE) data for crystalline SiSN2O at its relaxed geometry, as listed in the Alexandria database.

formation energy from raw total energies = 0.52 eV/atom
space-group type = P4/mmm (123)

Geometry as POSCAR:
```
SiSN2O
1.0
3.756 0.000 0.000
0.000 3.756 0.000
0.000 0.000 3.343
S Si O N
1 1 1 2
Direct
0.500 0.500 0.500 S
0.000 0.000 0.000 Si
0.000 0.000 0.500 O
0.000 0.500 0.000 N
0.500 0.000 0.000 N
```

24.
First-principles (PBE) data for crystalline Ce4S5N at its relaxed geometry, as listed in the Alexandria database.

formation energy from raw total energies = -1.74 eV/atom
space-group type = Immm (71)

Geometry as POSCAR:
```
Ce4S5N
1.0
-2.963 -2.097 1.326
-0.861 -2.976 -6.633
7.332 -3.776 4.783
Ce S N
4 5 1
Direct
0.289 0.789 0.578 Ce
0.000 0.781 0.000 Ce
0.711 0.211 0.422 Ce
0.000 0.219 0.000 Ce
0.836 0.586 0.673 S
0.836 0.087 0.673 S
0.164 0.913 0.327 S
0.500 0.500 0.000 S
0.164 0.414 0.327 S
0.500 0.000 0.000 N
```

no.,calculated total energy (eV per cell)
1,-14.028
2,-17.828
3,-37.048
4,-32.037
5,-36.535
6,-44.276
7,-20.231
8,-31.015
9,-175.677
10,-29.899
11,-26.435
12,-8.823
13,-28.523
14,-25.729
15,-22.041
16,-58.628
17,-53.188
18,-103.982
19,-25.469
20,-41.731
21,-114.004
22,-57.095
23,-28.556
24,-70.146